Record 1
VASP calculation (PBE) on a relaxed La2TlCl7 crystal.

a b c (Å): 8.388 8.388 5.588
angles (deg): 98.14 98.14 64.14
Fractional positions:
La 0.198 0.198 0.497
La 0.802 0.802 0.503
Tl 0.500 0.500 0.000
Cl 0.000 0.000 0.500
Cl 0.171 0.556 0.584
Cl 0.224 0.224 0.008
Cl 0.444 0.829 0.416
Cl 0.556 0.171 0.584
Cl 0.776 0.776 0.992
Cl 0.829 0.444 0.416

Summary:
electronic total energy	-46.23	eV/f.u.
crystal system	monoclinic



Record 2
VASP calculation (PBE) on a relaxed LaTl4Cl crystal.

a b c (Å): 6.341 6.341 6.341
angles (deg): 60.00 60.00 60.00
Fractional positions:
La 0.000 0.000 0.000
Tl 0.125 0.625 0.625
Tl 0.625 0.125 0.625
Tl 0.625 0.625 0.125
Tl 0.625 0.625 0.625
Cl 0.250 0.250 0.250

Summary:
electronic total energy	-17.54	eV/f.u.
crystal system	cubic



Record 3
VASP calculation (PBE) on a relaxed La2TlCl8 crystal.

a b c (Å): 8.245 8.245 5.413
angles (deg): 90.55 90.55 64.75
Fractional positions:
La 0.198 0.198 0.002
La 0.802 0.802 0.998
Tl 0.500 0.500 0.500
Cl 0.001 0.001 0.255
Cl 0.174 0.559 0.008
Cl 0.247 0.247 0.504
Cl 0.441 0.826 0.992
Cl 0.559 0.174 0.008
Cl 0.753 0.753 0.496
Cl 0.826 0.441 0.992
Cl 0.999 0.999 0.745

Summary:
electronic total energy	-47.96	eV/f.u.
crystal system	monoclinic



Record 4
VASP calculation (PBE) on a relaxed La3TlCl2 crystal.

a b c (Å): 7.260 7.260 6.156
angles (deg): 114.91 114.91 36.96
Fractional positions:
La 0.000 0.000 0.000
La 0.319 0.319 0.319
La 0.681 0.681 0.681
Tl 0.000 0.000 0.500
Cl 0.341 0.341 0.841
Cl 0.659 0.659 0.159

Summary:
electronic total energy	-27.88	eV/f.u.
crystal system	monoclinic



Q: Look up the electronic total energy of the third one.
A: -47.96 eV/f.u.